## Pm3DyAg2 (PBE-GGA)

Data for a geometry-optimized Pm3DyAg2 structure.

CIF file:
```
data_Pm3DyAg2
_chemical_formula_sum 'Pm6 Dy2 Ag4'
_cell_length_a 5.213
_cell_length_b 9.354
_cell_length_c 7.008
_cell_angle_alpha 90.00
_cell_angle_beta 90.00
_cell_angle_gamma 90.00
_symmetry_space_group_name_H-M 'P m c 21'
_symmetry_Int_Tables_number 26
_symmetry_space_group_name_Hall 'P 2c -2'
loop_
_atom_site_label
_atom_site_type_symbol
_atom_site_fract_x
_atom_site_fract_y
_atom_site_fract_z
Pm1 Pm 0.000 0.062 0.000
Pm2 Pm 0.000 0.334 0.350
Pm3 Pm 0.500 0.170 0.667
Dy1 Dy 0.500 0.439 0.020
Ag1 Ag 0.000 0.349 0.781
Ag2 Ag 0.500 0.156 0.237
```

* E_form: -95 kJ/mol of formula units